This record from Alexandria describes crystalline TaVSi2O8 at its relaxed geometry. The functional is PBE+U.

Values from the calculation:
- D(E_F): 6.2 states/eV/f.u.
- M_tot: 0.17 μB per atom
- SG: No. 119
- Uncorrected energy: -99.9 eV per cell

Lattice parameters (Å, degrees): 5.4700 5.4700 5.4700 107.24 107.24 114.04
With the nearest neighbours (Å) after each atom.
Fractional positions:
Ta: 0.0000 0.0000 0.0000  8 O 2.05-2.19
V: 0.7500 0.2500 0.5000  8 O 2.09-2.28
Si: 0.2500 0.7500 0.5000  4 O 1.63
Si: 0.5000 0.5000 0.0000  4 O 1.64
O: 0.0716 0.3805 0.3090  1 Si 1.63
O: 0.0716 0.7626 0.6910  1 Si 1.63
O: 0.1263 0.3092 0.8172  1 Si 1.64
O: 0.2374 0.9284 0.3090  1 Si 1.63
O: 0.4920 0.3092 0.1828  1 Si 1.64
O: 0.6195 0.9284 0.6910  1 Si 1.63
O: 0.6908 0.5080 0.8172  1 Si 1.64
O: 0.6908 0.8737 0.1828  1 Si 1.64